Computed, not measured: a geometry-optimized RhF structure at the GGA-PBE level of DFT.

```
8
Lattice="-3.197 -2.153 -3.001 3.175 0.424 -3.687 1.886 -4.364 1.122" Properties=species:S:1:pos:R:3 pbc="T T T"
Rh 0.932 -3.047 -2.783
Rh -1.598 -1.077 -1.500
Rh 1.588 0.212 -1.844
Rh 0.943 -2.182 0.561
F 0.000 0.000 0.000
F 2.531 -1.970 -1.283
F -0.655 -3.259 -0.939
F -0.011 -0.865 -3.344
```

Computed properties:
Uncorrected formation energy   119 meV/atom
Total magnetic moment   2.1 μB per formula unit
Energy above the most stable polymorph in this dataset   775 meV/atom
Electronic total energy   -4.49 eV/atom

***

Computed, not measured: a geometry-optimized KNb2W structure at the GGA-PBE level of DFT.

```
8
Lattice="5.040 0.000 0.000 0.000 5.040 0.000 2.520 2.520 8.867" Properties=species:S:1:pos:R:3 pbc="T T T"
Nb 4.570 1.260 2.217
Nb 5.509 3.780 2.217
Nb 3.780 2.989 6.650
Nb 6.300 2.051 6.650
K 2.520 2.520 0.000
K 2.520 5.040 4.433
W 0.000 0.000 0.000
W 5.040 2.520 4.433
```

Computed properties:
Total magnetic moment   0.0 μB per formula unit
Formation energy from the elements   1.89 eV per atom
Energy above the most stable polymorph in this dataset   550 meV/atom
Electronic total energy   -6.66 eV/atom

***

Computed, not measured: a geometry-optimized Er6GeC2Se3 structure at the GGA-PBE level of DFT.

```
12
Lattice="3.801 0.000 0.000 0.000 8.040 0.189 -1.901 -2.416 8.271" Properties=species:S:1:pos:R:3 pbc="T T T"
Er 0.000 5.433 5.631
Er 1.901 3.622 3.073
Er 1.901 0.191 2.829
Er 0.000 1.989 0.369
Er 1.901 3.634 8.090
Er 0.000 2.001 5.386
Ge 1.901 0.000 0.000
C 1.901 3.702 5.559
C 0.000 1.922 2.900
Se 1.901 4.020 0.094
Se 1.901 -0.270 5.611
Se 0.000 5.894 2.848
```

Computed properties:
Uncorrected formation energy   -1206 meV/atom
Total magnetic moment   0.0 μB per formula unit
Electronic total energy   -6.28 eV/atom

***

Computed, not measured: a geometry-optimized Pm8Ho4Tm structure at the GGA-PBE level of DFT.

```
13
Lattice="-2.389 10.173 3.670 -8.070 -6.535 -3.851 3.637 -6.254 2.990" Properties=species:S:1:pos:R:3 pbc="T T T"
Pm -6.356 -1.423 -0.193
Pm -0.467 -1.193 3.002
Pm -2.220 1.822 1.561
Pm 0.816 -6.322 1.343
Pm -4.603 -4.438 1.249
Pm -3.365 -9.708 -0.652
Pm -3.457 7.092 3.462
Pm -7.638 3.706 1.467
Ho 0.000 0.000 0.000
Ho -4.035 -3.268 -1.926
Ho -5.230 1.819 -0.090
Ho -1.195 5.087 1.835
Tm -2.217 -6.395 -0.430
```

Computed properties:
Total magnetic moment   0.0 μB per formula unit
Formation energy from the elements   0.47 eV per atom
Electronic total energy   -4.21 eV/atom

***

Computed, not measured: a geometry-optimized NdHo2Pd9 structure at the GGA-PBE level of DFT.

```
12
Lattice="-2.665 -1.883 2.564 -1.181 -2.520 -3.079 8.822 -8.084 3.232" Properties=species:S:1:pos:R:3 pbc="T T T"
Nd 0.000 0.000 0.000
Ho 2.972 -2.724 1.089
Ho 5.850 -5.361 2.143
Pd -1.923 -2.201 -0.257
Pd 1.034 -4.911 0.826
Pd 3.942 -7.576 1.891
Pd 0.189 -2.335 1.839
Pd 3.079 -4.984 2.898
Pd 5.969 -7.632 3.956
Pd 0.930 -2.654 -0.982
Pd 3.820 -5.302 0.077
Pd 6.710 -7.950 1.135
```

Computed properties:
Total magnetic moment   0.0 μB per formula unit
Formation energy from the elements   -0.84 eV per atom
Electronic total energy   -5.90 eV/atom

***

Computed, not measured: a geometry-optimized RbAs3Ir structure at the GGA-PBE level of DFT.

```
5
Lattice="-0.898 -4.849 1.953 0.197 -2.012 -4.903 5.224 -0.757 0.521" Properties=species:S:1:pos:R:3 pbc="T T T"
As 0.099 -1.006 -2.452
As 2.612 -0.379 0.260
As -0.449 -2.424 0.977
Ir 2.262 -3.809 -1.215
Rb 0.000 0.000 0.000
```

Computed properties:
Total magnetic moment   0.0 μB per formula unit
Formation energy from the elements   2.60 eV per atom
Energy above the most stable polymorph in this dataset   2264 meV/atom
Electronic total energy   -2.16 eV/atom

***

Computed, not measured: a geometry-optimized RbMg14Ni structure at the GGA-PBE level of DFT.

```
16
Lattice="-4.199 0.303 -4.871 -1.952 -1.955 5.815 -2.284 9.986 2.591" Properties=species:S:1:pos:R:3 pbc="T T T"
Rb -1.142 4.993 1.295
Mg -5.100 -0.665 -1.935
Mg -2.171 4.009 4.183
Mg -2.157 0.126 -2.387
Mg -5.152 3.208 4.641
Mg -3.091 -0.810 0.395
Mg -4.206 4.156 1.822
Mg -2.816 0.591 4.640
Mg -4.104 6.221 6.101
Mg -1.817 1.591 1.665
Mg -3.105 7.221 3.126
Mg -4.964 0.746 2.148
Mg -6.252 6.376 3.609
Mg -4.045 2.153 -0.634
Mg -5.139 6.933 0.607
Ni 0.000 0.000 0.000
```

Computed properties:
Total magnetic moment   0.0 μB per formula unit
Formation energy from the elements   0.16 eV per atom
Energy above the most stable polymorph in this dataset   8 meV/atom
Electronic total energy   -1.66 eV/atom

***

Computed, not measured: a geometry-optimized LiHo2PaS4 structure at the GGA-PBE level of DFT.

```
8
Lattice="-2.926 2.292 0.938 -2.844 -1.223 -5.884 -4.035 -5.388 0.577" Properties=species:S:1:pos:R:3 pbc="T T T"
Li -2.885 0.534 -2.473
Ho -4.035 -5.388 0.577
Ho -3.481 -1.548 0.758
Pa -3.440 -3.305 -2.653
S -5.168 -4.984 -3.940
S -4.638 0.665 -0.428
S -4.566 -1.072 -3.791
S -5.240 -3.247 -0.577
```

Computed properties:
Uncorrected formation energy   -1780 meV/atom
Total magnetic moment   0.0 μB per formula unit
Electronic total energy   -6.41 eV/atom